Crystalline CaMnH2O at its relaxed geometry, computed with PBE+U.

Structure (POSCAR):
```
CaMnH2O
1.0
3.603 0.000 0.000
0.000 3.603 0.000
0.000 0.000 4.317
Ca Mn H O
1 1 2 1
direct
0.000 0.000 0.000
0.500 0.500 0.500
0.000 0.500 0.500
0.500 0.000 0.500
0.500 0.500 0.000
```

Calculated values
symmetry: P4/mmm
VASP energy: -26.1 eV/cell